Entry 1:
## SmLuIr (GGA-PBE)

Data for a geometry-optimized SmLuIr structure.

```
SmLuIr
1.0
4.119 0.000 0.000
-2.060 3.567 0.000
0.000 0.000 6.085
Sm Lu Ir
1 1 1
direct
0.000 0.000 0.000 Sm
0.333 0.667 0.539 Lu
0.667 0.333 0.754 Ir
```

Summary:
DFT formation energy in eV/atom: -0.5344
Space group: P3m1, No. 156
Crystal system: trigonal
Energy relative to the lowest polymorph listed for this composition in kJ/mol of atoms: 13.1

Entry 2:
## AcEr3In2 (GGA-PBE)

Data for a geometry-optimized AcEr3In2 structure.

```
AcEr3In2
1.0
9.308 -2.558 0.000
9.308 2.558 0.000
-4.694 0.000 8.111
Ac Er In
2 6 4
direct
0.137 0.137 0.202 Ac
0.863 0.863 0.798 Ac
0.050 0.050 0.711 Er
0.310 0.310 0.051 Er
0.399 0.399 0.487 Er
0.601 0.601 0.513 Er
0.690 0.690 0.949 Er
0.950 0.950 0.289 Er
0.210 0.210 0.666 In
0.490 0.490 0.140 In
0.510 0.510 0.860 In
0.790 0.790 0.334 In
```

Summary:
DFT formation energy in eV/atom: -0.2176
Space group: C2/m, No. 12
Crystal system: monoclinic

Entry 3:
## LiLa3Bi3 (GGA-PBE)

Data for a geometry-optimized LiLa3Bi3 structure.

```
LiLa3Bi3
1.0
10.096 -3.390 0.000
10.096 3.390 0.000
0.000 0.000 13.486
Li La Bi
4 12 12
direct
0.082 0.082 0.000 Li
0.418 0.418 0.500 Li
0.582 0.582 0.500 Li
0.918 0.918 0.000 Li
0.054 0.603 0.369 La
0.103 0.554 0.869 La
0.212 0.788 0.639 La
0.288 0.712 0.139 La
0.397 0.946 0.369 La
0.446 0.897 0.869 La
0.554 0.103 0.131 La
0.603 0.054 0.631 La
0.712 0.288 0.861 La
0.788 0.212 0.361 La
0.897 0.446 0.131 La
0.946 0.397 0.631 La
0.069 0.601 0.122 Bi
0.101 0.569 0.622 Bi
0.232 0.768 0.881 Bi
0.268 0.732 0.381 Bi
0.399 0.931 0.122 Bi
0.431 0.899 0.622 Bi
0.569 0.101 0.378 Bi
0.601 0.069 0.878 Bi
0.732 0.268 0.619 Bi
0.768 0.232 0.119 Bi
0.899 0.431 0.378 Bi
0.931 0.399 0.878 Bi
```

Summary:
DFT formation energy in eV/atom: -0.9042
Space group: Cmce, No. 64
Crystal system: orthorhombic

Entry 4:
## ErLuGa (GGA-PBE)

Data for a geometry-optimized ErLuGa structure.

```
ErLuGa
1.0
-1.705 1.705 6.418
1.705 -1.705 6.418
1.705 1.705 -6.418
Er Lu Ga
1 1 1
direct
0.000 0.000 0.000 Er
0.294 0.294 0.000 Lu
0.649 0.649 0.000 Ga
```

Summary:
DFT formation energy in eV/atom: -0.3851
Space group: I4mm, No. 107
Crystal system: tetragonal
Energy relative to the lowest polymorph listed for this composition in kJ/mol of atoms: 0.0